Entry from Alexandria via LeMat-Bulk: crystalline NbMo4W4 at its relaxed geometry (PBE). Values from VASP.

Calculated values
Energy above the lowest structure with this stoichiometry (eV per atom): 0.389

```
&SYSTEM
  ibrav = 0, nat = 18, ntyp = 3
/
ATOMIC_SPECIES
Nb 92.91 Nb.upf
Mo 95.94 Mo.upf
W 183.84 W.upf
ATOMIC_POSITIONS crystal
Nb 0.000 0.000 0.000
Nb 0.500 0.500 0.500
Mo 0.500 0.748 0.766
Mo 0.500 0.252 0.766
Mo 0.748 0.500 0.234
Mo 0.252 0.500 0.234
Mo 0.248 0.000 0.266
Mo 0.752 0.000 0.266
Mo 0.000 0.248 0.734
Mo 0.000 0.752 0.734
W 0.232 0.500 0.928
W 0.768 0.500 0.928
W 0.500 0.768 0.072
W 0.500 0.232 0.072
W 0.000 0.732 0.428
W 0.000 0.268 0.428
W 0.268 0.000 0.572
W 0.732 0.000 0.572
CELL_PARAMETERS angstrom
5.696 0.000 0.000
0.000 5.696 0.000
0.000 0.000 9.999
```

---

Entry from Alexandria via LeMat-Bulk: crystalline SmTi2Co9 at its relaxed geometry (PBE). Values from VASP.

```
&SYSTEM
  ibrav = 0, nat = 12, ntyp = 3
/
ATOMIC_SPECIES
Sm 150.36 Sm.upf
Ti 47.87 Ti.upf
Co 58.93 Co.upf
ATOMIC_POSITIONS crystal
Sm 0.000 0.000 0.000
Ti 0.858 0.858 0.426
Ti 0.142 0.142 0.574
Co 0.664 0.664 0.009
Co 0.336 0.336 0.991
Co 0.500 0.500 0.500
Co 0.409 0.409 0.261
Co 0.922 0.409 0.261
Co 0.409 0.922 0.261
Co 0.591 0.591 0.739
Co 0.591 0.078 0.739
Co 0.078 0.591 0.739
CELL_PARAMETERS angstrom
-3.136 -3.604 -0.710
0.340 -2.753 -3.954
3.813 -6.998 2.250
```

---

Entry from Alexandria via LeMat-Bulk: crystalline HgCSeN2 at its relaxed geometry (PBE). Values from VASP.

Calculated values
Energy above the lowest structure with this stoichiometry (eV per atom): 0.749

```
&SYSTEM
  ibrav = 0, nat = 5, ntyp = 4
/
ATOMIC_SPECIES
C 12.01 C.upf
Hg 200.59 Hg.upf
Se 78.96 Se.upf
N 14.01 N.upf
ATOMIC_POSITIONS crystal
C 0.500 0.500 0.500
Hg 0.000 0.000 0.000
Se 0.000 0.000 0.500
N 0.000 0.500 0.000
N 0.500 0.000 0.000
CELL_PARAMETERS angstrom
4.166 0.000 0.000
0.000 4.166 0.000
0.000 0.000 5.946
```

---

Entry from Alexandria via LeMat-Bulk: crystalline Pr2NdCd2In2 at its relaxed geometry (PBE). Values from VASP.

```
&SYSTEM
  ibrav = 0, nat = 7, ntyp = 4
/
ATOMIC_SPECIES
Pr 140.91 Pr.upf
Nd 144.24 Nd.upf
Cd 112.41 Cd.upf
In 114.82 In.upf
ATOMIC_POSITIONS crystal
Pr 0.129 0.129 0.614
Pr 0.871 0.871 0.386
Nd 0.000 0.000 0.000
Cd 0.602 0.602 0.194
Cd 0.398 0.398 0.806
In 0.737 0.737 0.789
In 0.263 0.263 0.211
CELL_PARAMETERS angstrom
-2.450 -2.401 -3.654
2.241 -0.807 -4.409
3.199 -9.197 0.462
```

---

Entry from Alexandria via LeMat-Bulk: crystalline MnB4 at its relaxed geometry (PBE). Values from VASP.

Calculated values
Energy above the lowest structure with this stoichiometry (eV per atom): 0.000

```
&SYSTEM
  ibrav = 0, nat = 20, ntyp = 2
/
ATOMIC_SPECIES
Mn 54.94 Mn.upf
B 10.81 B.upf
ATOMIC_POSITIONS crystal
Mn 0.999 0.730 0.277
Mn 0.499 0.270 0.223
Mn 0.001 0.270 0.723
Mn 0.501 0.730 0.777
B 0.181 0.129 0.125
B 0.681 0.871 0.375
B 0.819 0.871 0.875
B 0.319 0.129 0.625
B 0.186 0.636 0.639
B 0.686 0.364 0.861
B 0.814 0.364 0.361
B 0.314 0.636 0.139
B 0.130 0.329 0.324
B 0.630 0.671 0.176
B 0.870 0.671 0.676
B 0.370 0.329 0.824
B 0.130 0.837 0.843
B 0.630 0.163 0.657
B 0.870 0.163 0.157
B 0.370 0.837 0.343
CELL_PARAMETERS angstrom
5.357 0.000 0.000
0.000 5.431 -0.002
0.000 2.291 4.965
```

---

Entry from Alexandria via LeMat-Bulk: crystalline Pm12Ho7Mg at its relaxed geometry (PBE). Values from VASP.

Calculated values
Energy above the lowest structure with this stoichiometry (eV per atom): 0.610

```
&SYSTEM
  ibrav = 0, nat = 20, ntyp = 3
/
ATOMIC_SPECIES
Pm 145.00 Pm.upf
Ho 164.93 Ho.upf
Mg 24.30 Mg.upf
ATOMIC_POSITIONS crystal
Pm 0.505 0.753 0.752
Pm 0.002 0.753 0.248
Pm 0.495 0.247 0.248
Pm 0.998 0.247 0.752
Pm 0.752 0.998 0.247
Pm 0.752 0.505 0.753
Pm 0.248 0.002 0.753
Pm 0.248 0.495 0.247
Pm 0.753 0.752 0.505
Pm 0.247 0.248 0.495
Pm 0.753 0.248 0.002
Pm 0.247 0.752 0.998
Ho 0.500 0.500 0.000
Ho 0.000 0.500 0.500
Ho 0.500 0.000 0.500
Ho 0.500 0.500 0.500
Ho 0.000 0.000 0.500
Ho 0.500 0.000 0.000
Ho 0.000 0.500 0.000
Mg 0.000 0.000 0.000
CELL_PARAMETERS angstrom
-6.854 -4.102 5.966
-3.852 1.267 -9.108
7.942 -6.001 -0.556
```

---

Entry from Alexandria via LeMat-Bulk: crystalline LiSm3Zn8 at its relaxed geometry (PBE). Values from VASP.

```
&SYSTEM
  ibrav = 0, nat = 12, ntyp = 3
/
ATOMIC_SPECIES
Li 6.94 Li.upf
Sm 150.36 Sm.upf
Zn 65.41 Zn.upf
ATOMIC_POSITIONS crystal
Li 0.872 0.872 0.383
Sm 0.377 0.377 0.868
Sm 0.995 0.995 0.016
Sm 0.504 0.504 0.489
Zn 0.935 0.438 0.190
Zn 0.439 0.939 0.684
Zn 0.438 0.438 0.190
Zn 0.939 0.939 0.684
Zn 0.188 0.188 0.435
Zn 0.687 0.687 0.938
Zn 0.438 0.935 0.190
Zn 0.939 0.439 0.684
CELL_PARAMETERS angstrom
5.460 0.000 0.000
2.730 4.729 0.000
2.730 1.576 8.944
```

---

Entry from Alexandria via LeMat-Bulk: crystalline Rb2Mg2NpO6 at its relaxed geometry (PBE). Values from VASP.

```
&SYSTEM
  ibrav = 0, nat = 11, ntyp = 4
/
ATOMIC_SPECIES
Rb 85.47 Rb.upf
Mg 24.30 Mg.upf
Np 237.00 Np.upf
O 16.00 O.upf
ATOMIC_POSITIONS crystal
Rb 0.828 0.172 0.000
Rb 0.172 0.828 0.000
Mg 0.335 0.665 0.500
Mg 0.665 0.335 0.500
Np 0.000 0.000 0.500
O 0.740 0.740 0.661
O 0.056 0.382 0.663
O 0.260 0.260 0.339
O 0.382 0.056 0.663
O 0.944 0.618 0.337
O 0.618 0.944 0.337
CELL_PARAMETERS angstrom
-2.825 4.485 -1.676
-0.897 -4.890 -2.486
-3.324 -1.201 5.987
```

---

Entry from Alexandria via LeMat-Bulk: crystalline RbTlHg2 at its relaxed geometry (PBE). Values from VASP.

Calculated values
Energy above the lowest structure with this stoichiometry (eV per atom): 0.000

```
&SYSTEM
  ibrav = 0, nat = 4, ntyp = 3
/
ATOMIC_SPECIES
Tl 204.38 Tl.upf
Hg 200.59 Hg.upf
Rb 85.47 Rb.upf
ATOMIC_POSITIONS crystal
Tl 0.500 0.500 0.500
Hg 0.789 0.789 0.634
Hg 0.211 0.211 0.366
Rb 0.000 0.000 0.000
CELL_PARAMETERS angstrom
-2.656 -4.290 1.900
2.733 -4.307 1.744
0.191 -0.551 6.674
```

---

Entry from Alexandria via LeMat-Bulk: crystalline Tm8Te4PtS3 at its relaxed geometry (PBE). Values from VASP.

```
&SYSTEM
  ibrav = 0, nat = 16, ntyp = 4
/
ATOMIC_SPECIES
Tm 168.93 Tm.upf
Te 127.60 Te.upf
Pt 195.08 Pt.upf
S 32.06 S.upf
ATOMIC_POSITIONS crystal
Tm 0.234 0.709 0.974
Tm 0.234 0.709 0.469
Tm 0.265 0.296 0.531
Tm 0.740 0.709 0.974
Tm 0.260 0.291 0.026
Tm 0.735 0.704 0.469
Tm 0.766 0.291 0.531
Tm 0.766 0.291 0.026
Te 0.500 0.000 0.000
Te 0.500 0.000 0.500
Te 0.000 0.000 0.000
Te 0.000 0.000 0.500
Pt 0.000 0.500 0.000
S 0.500 0.500 0.000
S 0.500 0.500 0.500
S 0.000 0.500 0.500
CELL_PARAMETERS angstrom
8.165 0.000 0.000
0.000 8.336 0.116
-4.082 -4.079 5.776
```

---

Entry from Alexandria via LeMat-Bulk: crystalline K2ZrCo at its relaxed geometry (PBE). Values from VASP.

Calculated values
Energy above the lowest structure with this stoichiometry (eV per atom): 0.722

```
&SYSTEM
  ibrav = 0, nat = 4, ntyp = 3
/
ATOMIC_SPECIES
Co 58.93 Co.upf
K 39.10 K.upf
Zr 91.22 Zr.upf
ATOMIC_POSITIONS crystal
Co 0.750 0.750 0.750
K 0.011 0.011 0.011
K 0.489 0.489 0.489
Zr 0.250 0.250 0.250
CELL_PARAMETERS angstrom
-9.207 -3.536 7.792
-8.057 -6.388 7.229
-6.820 -4.623 9.492
```

---

Entry from Alexandria via LeMat-Bulk: crystalline Ir2PtBr at its relaxed geometry (PBE). Values from VASP.

Calculated values
Energy above the lowest structure with this stoichiometry (eV per atom): 0.241

```
&SYSTEM
  ibrav = 0, nat = 4, ntyp = 3
/
ATOMIC_SPECIES
Ir 192.22 Ir.upf
Br 79.90 Br.upf
Pt 195.08 Pt.upf
ATOMIC_POSITIONS crystal
Ir 0.000 0.000 0.004
Ir 0.000 0.000 0.496
Br 0.500 0.500 0.750
Pt 0.500 0.500 0.250
CELL_PARAMETERS angstrom
2.883 -0.013 0.000
-1.538 2.438 0.000
0.000 0.000 9.342
```

---

Entry from Alexandria via LeMat-Bulk: crystalline Ag2Sb3 at its relaxed geometry (PBE). Values from VASP.

```
&SYSTEM
  ibrav = 0, nat = 10, ntyp = 2
/
ATOMIC_SPECIES
Ag 107.87 Ag.upf
Sb 121.76 Sb.upf
ATOMIC_POSITIONS crystal
Ag 0.835 0.187 0.537
Ag 0.441 0.537 0.187
Ag 0.063 0.415 0.809
Ag 0.713 0.809 0.415
Sb 0.435 0.819 0.412
Sb 0.334 0.412 0.819
Sb 0.431 0.815 0.916
Sb 0.838 0.916 0.815
Sb 0.955 0.045 0.045
Sb 0.205 0.295 0.295
CELL_PARAMETERS angstrom
1.725 -7.248 7.585
-4.568 -5.640 3.958
5.494 -4.981 0.585
```

---

Entry from Alexandria via LeMat-Bulk: crystalline Ce3PS6 at its relaxed geometry (PBE). Values from VASP.

```
&SYSTEM
  ibrav = 0, nat = 20, ntyp = 3
/
ATOMIC_SPECIES
Ce 140.12 Ce.upf
P 30.97 P.upf
S 32.06 S.upf
ATOMIC_POSITIONS crystal
Ce 0.473 0.915 0.713
Ce 0.973 0.713 0.915
Ce 0.409 0.397 0.603
Ce 0.909 0.603 0.397
Ce 0.973 0.085 0.287
Ce 0.473 0.287 0.085
P 0.061 0.182 0.818
P 0.561 0.818 0.182
S 0.192 0.682 0.641
S 0.692 0.641 0.682
S 0.186 0.412 0.900
S 0.686 0.900 0.412
S 0.198 0.032 0.968
S 0.613 0.220 0.780
S 0.113 0.780 0.220
S 0.698 0.968 0.032
S 0.186 0.100 0.588
S 0.686 0.588 0.100
S 0.192 0.359 0.318
S 0.692 0.318 0.359
CELL_PARAMETERS angstrom
7.170 0.000 0.000
0.000 8.588 0.062
0.000 -1.856 8.385
```

---

Entry from Alexandria via LeMat-Bulk: crystalline YTaAgS2 at its relaxed geometry (PBE). Values from VASP.

```
&SYSTEM
  ibrav = 0, nat = 5, ntyp = 4
/
ATOMIC_SPECIES
Y 88.91 Y.upf
S 32.06 S.upf
Ag 107.87 Ag.upf
Ta 180.95 Ta.upf
ATOMIC_POSITIONS crystal
Y 0.000 0.000 0.000
S 0.000 0.000 0.500
S 0.500 0.000 0.000
Ag 0.500 0.500 0.500
Ta 0.000 0.500 0.000
CELL_PARAMETERS angstrom
5.096 0.000 0.000
0.000 5.839 0.000
0.000 0.000 5.096
```

---

Entry from Alexandria via LeMat-Bulk: crystalline La12Y3Tl at its relaxed geometry (PBE). Values from VASP.

```
&SYSTEM
  ibrav = 0, nat = 16, ntyp = 3
/
ATOMIC_SPECIES
La 138.91 La.upf
Y 88.91 Y.upf
Tl 204.38 Tl.upf
ATOMIC_POSITIONS crystal
La 0.500 0.500 0.000
La 0.500 0.500 0.249
La 0.500 0.500 0.500
La 0.500 0.500 0.751
La 0.500 0.000 0.122
La 0.500 0.000 0.374
La 0.500 0.000 0.626
La 0.500 0.000 0.878
La 0.000 0.500 0.122
La 0.000 0.500 0.374
La 0.000 0.500 0.626
La 0.000 0.500 0.878
Y 0.000 0.000 0.249
Y 0.000 0.000 0.500
Y 0.000 0.000 0.751
Tl 0.000 0.000 0.000
CELL_PARAMETERS angstrom
5.170 0.000 0.000
0.000 5.170 0.000
0.000 0.000 20.909
```

---

Entry from Alexandria via LeMat-Bulk: crystalline Pu6SiGe at its relaxed geometry (PBE). Values from VASP.

```
&SYSTEM
  ibrav = 0, nat = 8, ntyp = 3
/
ATOMIC_SPECIES
Pu 244.00 Pu.upf
Si 28.09 Si.upf
Ge 72.64 Ge.upf
ATOMIC_POSITIONS crystal
Pu 0.500 0.500 0.000
Pu 0.500 0.500 0.500
Pu 0.500 0.000 0.255
Pu 0.500 0.000 0.745
Pu 0.000 0.500 0.255
Pu 0.000 0.500 0.745
Si 0.000 0.000 0.500
Ge 0.000 0.000 0.000
CELL_PARAMETERS angstrom
-4.175 0.960 0.713
0.710 -0.094 4.283
1.964 8.647 -0.136
```

---

Entry from Alexandria via LeMat-Bulk: crystalline NaPm2Np3N6 at its relaxed geometry (PBE). Values from VASP.

```
&SYSTEM
  ibrav = 0, nat = 12, ntyp = 4
/
ATOMIC_SPECIES
Na 22.99 Na.upf
Pm 145.00 Pm.upf
Np 237.00 Np.upf
N 14.01 N.upf
ATOMIC_POSITIONS crystal
Na 0.500 0.000 0.000
Pm 0.835 0.671 0.670
Pm 0.165 0.329 0.330
Np 0.500 0.500 0.000
Np 0.836 0.166 0.671
Np 0.164 0.834 0.329
N 0.321 0.931 0.642
N 0.662 0.595 0.324
N 0.679 0.069 0.358
N 0.991 0.289 0.983
N 0.009 0.711 0.017
N 0.338 0.405 0.676
CELL_PARAMETERS angstrom
-1.200 -0.824 3.197
6.220 -2.941 1.576
1.431 7.655 0.580
```

---

Entry from Alexandria via LeMat-Bulk: crystalline LiPmGe2Au2 at its relaxed geometry (PBE). Values from VASP.

```
&SYSTEM
  ibrav = 0, nat = 6, ntyp = 4
/
ATOMIC_SPECIES
Li 6.94 Li.upf
Pm 145.00 Pm.upf
Ge 72.64 Ge.upf
Au 196.97 Au.upf
ATOMIC_POSITIONS crystal
Li 0.000 0.000 0.500
Pm 0.000 0.000 0.000
Ge 0.667 0.333 0.273
Ge 0.333 0.667 0.727
Au 0.667 0.333 0.690
Au 0.333 0.667 0.310
CELL_PARAMETERS angstrom
4.443 0.000 0.000
-2.222 3.848 0.000
0.000 0.000 6.847
```

---

Entry from Alexandria via LeMat-Bulk: crystalline ScCrAs2Rh at its relaxed geometry (PBE). Values from VASP.

```
&SYSTEM
  ibrav = 0, nat = 5, ntyp = 4
/
ATOMIC_SPECIES
Sc 44.96 Sc.upf
Cr 52.00 Cr.upf
As 74.92 As.upf
Rh 102.91 Rh.upf
ATOMIC_POSITIONS crystal
Sc 0.000 0.500 0.000
Cr 0.000 0.000 0.000
As 0.000 0.000 0.500
As 0.500 0.000 0.000
Rh 0.500 0.500 0.500
CELL_PARAMETERS angstrom
4.530 0.000 0.000
0.000 4.622 0.000
0.000 0.000 4.530
```

---

| no. | E_tot (eV/cell) |
| --- | --- |
| 1 | -197.9 |
| 2 | -86.6 |
| 3 | -14.1 |
| 4 | -23.8 |
| 5 | -149.3 |
| 6 | -76.9 |
| 7 | -29.8 |
| 8 | -74.5 |
| 9 | -4.5 |
| 10 | -90.7 |
| 11 | -13.4 |
| 12 | -22.5 |
| 13 | -34.5 |
| 14 | -125.7 |
| 15 | -24.7 |
| 16 | -81.6 |
| 17 | -98.0 |
| 18 | -113.1 |
| 19 | -26.1 |
| 20 | -31.0 |